A plane-wave DFT calculation with PBE was carried out for RbZnI2F after structural relaxation.

Results
The total moment comes out at 0.00 μB per cell. The final energy comes out at -2.74 eV/atom.

Geometry as POSCAR:
```
RbZnI2F
1.0
5.940 0.000 0.000
0.000 5.940 0.000
0.000 0.000 4.160
I Rb F Zn
2 1 1 1
Direct
0.500 0.000 0.000 I
0.000 0.500 0.000 I
0.500 0.500 0.500 Rb
0.000 0.000 0.500 F
0.000 0.000 0.000 Zn
```

---

A plane-wave DFT calculation with PBE was carried out for Rb2ZrI4F2 after structural relaxation.

Results
The total moment comes out at 0.00 μB per cell. The final energy comes out at -4.16 eV/atom.

Geometry as POSCAR:
```
Rb2ZrI4F2
1.0
-2.950 -5.157 2.754
5.089 -5.729 -0.875
4.202 -1.381 6.318
I F Rb Zr
4 2 2 1
Direct
0.694 0.847 0.344 I
0.306 0.153 0.656 I
0.694 0.344 0.847 I
0.306 0.656 0.153 I
0.246 0.132 0.132 F
0.754 0.868 0.868 F
0.155 0.687 0.687 Rb
0.845 0.313 0.313 Rb
0.500 0.000 0.000 Zr
```

---

A plane-wave DFT calculation with PBE was carried out for Rb2ZrIF6 after structural relaxation.

Results
The total moment comes out at 1.00 μB per cell. The final energy comes out at -5.13 eV/atom.

Geometry as POSCAR:
```
Rb2ZrIF6
1.0
7.470 0.000 0.000
0.000 7.470 0.000
3.735 3.735 4.770
Rb F I Zr
2 6 1 1
Direct
0.250 0.750 0.500 Rb
0.750 0.250 0.500 Rb
0.714 0.714 0.571 F
0.286 0.286 0.429 F
0.308 0.308 0.000 F
0.692 0.692 0.000 F
0.308 0.692 0.000 F
0.692 0.308 0.000 F
0.000 0.000 0.000 I
0.500 0.500 0.000 Zr
```

---

A plane-wave DFT calculation with PBE was carried out for ReIF2 after structural relaxation.

Results
The total moment comes out at 7.99 μB per cell. For the offset from the most stable computed form, the calculation gives 500 meV per atom.

Geometry as POSCAR:
```
ReIF2
1.0
-1.396 2.854 -3.580
0.608 -3.594 -3.102
-7.048 -2.363 -2.335
I F Re
2 4 2
Direct
0.250 0.750 0.500 I
0.500 0.500 0.000 I
0.875 0.125 0.250 F
0.375 0.125 0.750 F
0.875 0.125 0.750 F
0.875 0.625 0.250 F
0.000 0.000 0.000 Re
0.750 0.250 0.500 Re
```

---

A plane-wave DFT calculation with PBE was carried out for ReI2F after structural relaxation.

Results
The total moment comes out at 0.00 μB per cell. For the offset from the most stable computed form, the calculation gives 0 meV per atom.

Geometry as POSCAR:
```
ReI2F
1.0
6.713 0.000 0.000
0.000 6.713 0.000
3.356 3.356 4.954
I F Re
4 2 2
Direct
0.096 0.625 0.250 I
0.875 0.904 0.750 I
0.654 0.125 0.250 I
0.375 0.346 0.750 I
0.500 0.500 0.000 F
0.250 0.750 0.500 F
0.750 0.250 0.500 Re
0.000 0.000 0.000 Re
```

---

A plane-wave DFT calculation with PBE was carried out for ReI3F after structural relaxation.

Results
The total moment comes out at 0.96 μB per cell. The final energy comes out at -3.36 eV/atom.

Geometry as POSCAR:
```
ReI3F
1.0
5.384 0.000 0.000
0.000 5.384 0.000
0.000 0.000 5.384
I Re F
3 1 1
Direct
0.000 0.500 0.000 I
0.000 0.000 0.500 I
0.500 0.000 0.000 I
0.000 0.000 0.000 Re
0.500 0.500 0.500 F
```

---

A plane-wave DFT calculation with PBE was carried out for ReIF2 after structural relaxation.

Results
The total moment comes out at 4.00 μB per cell. For the offset from the most stable computed form, the calculation gives 1015 meV per atom.

Geometry as POSCAR:
```
ReIF2
1.0
3.151 -0.698 3.155
-0.975 0.683 4.353
-0.360 -3.513 2.810
I F Re
1 2 1
Direct
0.000 0.000 0.000 I
0.250 0.250 0.250 F
0.750 0.750 0.750 F
0.500 0.500 0.500 Re
```

---

A plane-wave DFT calculation with PBE was carried out for ReI2F after structural relaxation.

Results
The total moment comes out at 0.00 μB per cell. For the offset from the most stable computed form, the calculation gives 31 meV per atom.

Geometry as POSCAR:
```
ReI2F
1.0
-2.130 -4.072 0.939
-0.135 -1.616 4.402
-4.053 -0.037 2.362
F Re I
1 1 2
Direct
0.000 0.000 0.000 F
0.500 0.500 0.500 Re
0.250 0.250 0.250 I
0.750 0.750 0.750 I
```

---

Q: Among the records above, which one has the highest total moment?
A: number 4